(1)
Below is a relaxed Ti2Mo2I crystal, with properties calculated at the PBE level.

Values from the calculation:
Volume (Å³/atom): 18.88
N(E_F) (states/eV/f.u.): 7.12
E_tot (eV/atom): -7.210
SG: No. 127
Size of the total moment (μB/f.u.): 0.0

a b c (Å): 7.4276 7.4276 3.4228
angles (deg): 90.00 90.00 90.00
Atoms (fractional coordinates):
Mo  0.8600  0.6400  0.0000
Ti  0.6374  0.8626  0.5000
I  0.5000  0.5000  0.0000
Ti  0.8626  0.3626  0.5000
I  0.0000  0.0000  0.0000
Ti  0.1374  0.6374  0.5000
Mo  0.6400  0.1400  0.0000
Ti  0.3626  0.1374  0.5000
Mo  0.3600  0.8600  0.0000
Mo  0.1400  0.3600  0.0000

***

(2)
Below is a relaxed Ti2MoI crystal, with properties calculated at the PBE level.

Values from the calculation:
Volume (Å³/atom): 26.38
N(E_F) (states/eV/f.u.): 4.26
E_tot (eV/atom): -6.063
SG: No. 122
Size of the total moment (μB/f.u.): 0.0

a b c (Å): 5.6474 5.6474 7.7289
angles (deg): 68.57 68.57 90.00
Atoms (fractional coordinates):
Ti  0.3750  0.4576  0.7500
Ti  0.2076  0.6250  0.2500
Mo  0.5000  0.5000  0.0000
Ti  0.5424  0.1250  0.2500
I  0.7500  0.2500  0.5000
Mo  0.2500  0.7500  0.5000
I  0.0000  0.0000  0.0000
Ti  0.8750  0.7924  0.7500

***

(3)
Below is a relaxed TiZnMoI2 crystal, with properties calculated at the PBE level.

Values from the calculation:
Volume (Å³/atom): 29.39
N(E_F) (states/eV/f.u.): 6.11
E_tot (eV/atom): -3.859
SG: No. 123
Size of the total moment (μB/f.u.): 0.5

a b c (Å): 5.5933 4.6968 5.5933
angles (deg): 90.00 90.00 90.00
Atoms (fractional coordinates):
I  0.0000  0.0000  0.5000
Mo  0.0000  0.0000  0.0000
I  0.5000  0.0000  0.0000
Zn  0.5000  0.5000  0.5000
Ti  0.0000  0.5000  0.0000

***

(4)
Below is a relaxed ZrTiMoI2 crystal, with properties calculated at the PBE level.

Values from the calculation:
Volume (Å³/atom): 28.84
N(E_F) (states/eV/f.u.): 6.11
E_tot (eV/atom): -4.826
SG: No. 123
Size of the total moment (μB/f.u.): 4.0

a b c (Å): 5.3039 5.1254 5.3039
angles (deg): 90.00 90.00 90.00
Atoms (fractional coordinates):
Zr  0.0000  0.5000  0.0000
Mo  0.5000  0.5000  0.5000
I  0.0000  0.0000  0.5000
I  0.5000  0.0000  0.0000
Ti  0.0000  0.0000  0.0000

***

(5)
Below is a relaxed TlMoI2 crystal, with properties calculated at the PBE level.

Values from the calculation:
Volume (Å³/atom): 33.53
N(E_F) (states/eV/f.u.): 3.94
E_tot (eV/atom): -3.740
SG: No. 122
Size of the total moment (μB/f.u.): 0.0

a b c (Å): 9.6072 9.6072 7.3887
angles (deg): 49.45 49.45 90.00
Atoms (fractional coordinates):
Tl  0.7500  0.2500  0.5000
I  0.2627  0.6250  0.2500
Tl  0.0000  0.0000  0.0000
Mo  0.5000  0.5000  0.0000
I  0.4873  0.1250  0.2500
Mo  0.2500  0.7500  0.5000
I  0.3750  0.5127  0.7500
I  0.8750  0.7373  0.7500

***

(6)
Below is a relaxed Tl2MoI2 crystal, with properties calculated at the PBE level.

Values from the calculation:
Volume (Å³/atom): 36.10
N(E_F) (states/eV/f.u.): 3.12
E_tot (eV/atom): -3.405
SG: No. 123
Size of the total moment (μB/f.u.): 2.8

a b c (Å): 5.6880 5.6880 5.5782
angles (deg): 90.00 90.00 90.00
Atoms (fractional coordinates):
Tl  0.0000  0.0000  0.5000
I  0.5000  0.0000  0.0000
Mo  0.0000  0.0000  0.0000
I  0.0000  0.5000  0.0000
Tl  0.5000  0.5000  0.5000

***

(7)
Below is a relaxed Tl3MoI crystal, with properties calculated at the PBE level.

Values from the calculation:
Volume (Å³/atom): 51.33
N(E_F) (states/eV/f.u.): 2.52
E_tot (eV/atom): -2.722
SG: No. 221
Size of the total moment (μB/f.u.): 4.9

a b c (Å): 6.3548 6.3548 6.3548
angles (deg): 90.00 90.00 90.00
Atoms (fractional coordinates):
Tl  0.5000  0.0000  0.0000
I  0.0000  0.0000  0.0000
Mo  0.5000  0.5000  0.5000
Tl  0.0000  0.0000  0.5000
Tl  0.0000  0.5000  0.0000

***

(8)
Below is a relaxed Tl2Mo2I crystal, with properties calculated at the PBE level.

Values from the calculation:
Volume (Å³/atom): 25.77
N(E_F) (states/eV/f.u.): 4.27
E_tot (eV/atom): -4.687
SG: No. 127
Size of the total moment (μB/f.u.): 0.0

a b c (Å): 9.1830 9.1830 3.0560
angles (deg): 90.00 90.00 90.00
Atoms (fractional coordinates):
I  0.5000  0.5000  0.0000
Mo  0.5845  0.9155  0.5000
I  0.0000  0.0000  0.0000
Mo  0.0845  0.5845  0.5000
Tl  0.3005  0.8005  0.0000
Mo  0.4155  0.0845  0.5000
Tl  0.1995  0.3005  0.0000
Mo  0.9155  0.4155  0.5000
Tl  0.8005  0.6995  0.0000
Tl  0.6995  0.1995  0.0000

***

(9)
Below is a relaxed Tl2MoI crystal, with properties calculated at the PBE level.

Values from the calculation:
Volume (Å³/atom): 31.84
N(E_F) (states/eV/f.u.): 1.75
E_tot (eV/atom): -3.324
SG: No. 225
Size of the total moment (μB/f.u.): 4.9

a b c (Å): 5.6476 5.6476 5.6476
angles (deg): 60.00 60.00 60.00
Atoms (fractional coordinates):
Mo  0.0000  0.0000  0.0000
Tl  0.2500  0.2500  0.2500
Tl  0.7500  0.7500  0.7500
I  0.5000  0.5000  0.5000

***

(10)
Below is a relaxed Tl2Mo2I crystal, with properties calculated at the PBE level.

Values from the calculation:
Volume (Å³/atom): 25.69
N(E_F) (states/eV/f.u.): 4.56
E_tot (eV/atom): -4.932
SG: No. 139
Size of the total moment (μB/f.u.): 0.0

a b c (Å): 3.6703 3.6703 9.8820
angles (deg): 79.30 79.30 90.00
Atoms (fractional coordinates):
Tl  0.6194  0.6194  0.7613
Mo  0.2500  0.7500  0.5000
I  0.0000  0.0000  0.0000
Mo  0.7500  0.2500  0.5000
Tl  0.3806  0.3806  0.2387

***

(11)
Below is a relaxed TlMoI2 crystal, with properties calculated at the PBE level.

Values from the calculation:
Volume (Å³/atom): 32.86
N(E_F) (states/eV/f.u.): 0.03
E_tot (eV/atom): -3.482
SG: No. 225
Size of the total moment (μB/f.u.): 5.0

a b c (Å): 5.7070 5.7070 5.7070
angles (deg): 60.00 60.00 60.00
Atoms (fractional coordinates):
I  0.2500  0.2500  0.2500
Tl  0.5000  0.5000  0.5000
Mo  0.0000  0.0000  0.0000
I  0.7500  0.7500  0.7500

***

(12)
Below is a relaxed TlMoI3 crystal, with properties calculated at the PBE level.

Values from the calculation:
Volume (Å³/atom): 38.89
N(E_F) (states/eV/f.u.): 0.64
E_tot (eV/atom): -3.581
SG: No. 221
Size of the total moment (μB/f.u.): 4.0

a b c (Å): 5.7934 5.7934 5.7934
angles (deg): 90.00 90.00 90.00
Atoms (fractional coordinates):
Mo  0.0000  0.0000  0.0000
I  0.5000  0.0000  0.0000
Tl  0.5000  0.5000  0.5000
I  0.0000  0.5000  0.0000
I  0.0000  0.0000  0.5000

***

(13)
Below is a relaxed Tl2MoI crystal, with properties calculated at the PBE level.

Values from the calculation:
Volume (Å³/atom): 37.34
N(E_F) (states/eV/f.u.): 0.76
E_tot (eV/atom): -3.351
SG: No. 122
Size of the total moment (μB/f.u.): 3.0

a b c (Å): 5.6826 5.6826 10.0861
angles (deg): 73.64 73.64 90.00
Atoms (fractional coordinates):
I  0.0000  0.0000  0.0000
Tl  0.3750  0.4878  0.7500
I  0.7500  0.2500  0.5000
Tl  0.5122  0.1250  0.2500
Mo  0.2500  0.7500  0.5000
Tl  0.8750  0.7622  0.7500
Tl  0.2378  0.6250  0.2500
Mo  0.5000  0.5000  0.0000

***

(14)
Below is a relaxed Tl3MoI crystal, with properties calculated at the PBE level.

Values from the calculation:
Volume (Å³/atom): 35.13
N(E_F) (states/eV/f.u.): 3.76
E_tot (eV/atom): -3.439
SG: No. 221
Size of the total moment (μB/f.u.): 3.0

a b c (Å): 5.6002 5.6002 5.6002
angles (deg): 90.00 90.00 90.00
Atoms (fractional coordinates):
I  0.5000  0.5000  0.5000
Tl  0.5000  0.0000  0.0000
Tl  0.0000  0.0000  0.5000
Tl  0.0000  0.5000  0.0000
Mo  0.0000  0.0000  0.0000

***

(15)
Below is a relaxed V3MoI crystal, with properties calculated at the PBE level.

Values from the calculation:
Volume (Å³/atom): 20.57
N(E_F) (states/eV/f.u.): 7.91
E_tot (eV/atom): -6.573
SG: No. 221
Size of the total moment (μB/f.u.): 1.5

a b c (Å): 4.6854 4.6854 4.6854
angles (deg): 90.00 90.00 90.00
Atoms (fractional coordinates):
Mo  0.0000  0.0000  0.0000
I  0.5000  0.5000  0.5000
V  0.0000  0.5000  0.0000
V  0.0000  0.0000  0.5000
V  0.5000  0.0000  0.0000

***

(16)
Below is a relaxed VMo3I crystal, with properties calculated at the PBE level.

Values from the calculation:
Volume (Å³/atom): 20.02
N(E_F) (states/eV/f.u.): 9.26
E_tot (eV/atom): -7.070
SG: No. 221
Size of the total moment (μB/f.u.): 0.2

a b c (Å): 4.6433 4.6433 4.6433
angles (deg): 90.00 90.00 90.00
Atoms (fractional coordinates):
Mo  0.0000  0.0000  0.5000
I  0.5000  0.5000  0.5000
Mo  0.0000  0.5000  0.0000
Mo  0.5000  0.0000  0.0000
V  0.0000  0.0000  0.0000

***

(17)
Below is a relaxed V2MoI crystal, with properties calculated at the PBE level.

Values from the calculation:
Volume (Å³/atom): 16.11
N(E_F) (states/eV/f.u.): 6.67
E_tot (eV/atom): -6.831
SG: No. 225
Size of the total moment (μB/f.u.): 0.0

a b c (Å): 4.5003 4.5003 4.5003
angles (deg): 60.00 60.00 60.00
Atoms (fractional coordinates):
V  0.2500  0.2500  0.2500
Mo  0.0000  0.0000  0.0000
I  0.5000  0.5000  0.5000
V  0.7500  0.7500  0.7500

***

(18)
Below is a relaxed VMo2I4 crystal, with properties calculated at the PBE level.

Values from the calculation:
Volume (Å³/atom): 33.79
N(E_F) (states/eV/f.u.): 3.76
E_tot (eV/atom): -4.681
SG: No. 139
Size of the total moment (μB/f.u.): 2.3

a b c (Å): 5.9167 5.9167 7.9470
angles (deg): 68.15 68.15 90.00
Atoms (fractional coordinates):
Mo  0.4240  0.4240  0.1521
I  0.2058  0.2058  0.5884
I  0.5000  0.0000  0.0000
V  0.0000  0.0000  0.0000
Mo  0.5760  0.5760  0.8479
I  0.0000  0.5000  0.0000
I  0.7942  0.7942  0.4116

***

(19)
Below is a relaxed VMoI crystal, with properties calculated at the PBE level.

Values from the calculation:
Volume (Å³/atom): 24.69
N(E_F) (states/eV/f.u.): 3.71
E_tot (eV/atom): -6.883
SG: No. 57
Size of the total moment (μB/f.u.): 0.0

a b c (Å): 4.3090 6.1893 11.1071
angles (deg): 90.00 90.00 90.00
Atoms (fractional coordinates):
Mo  0.9097  0.8763  0.9991
I  0.4097  0.0028  0.3325
Mo  0.4097  0.6237  0.9991
I  0.9097  0.9972  0.6675
V  0.4097  0.8629  0.8181
V  0.4097  0.3629  0.1819
Mo  0.4097  0.1237  0.0009
V  0.9097  0.1371  0.1819
I  0.9097  0.4972  0.3325
V  0.9097  0.6371  0.8181
I  0.4097  0.5028  0.6675
Mo  0.9097  0.3763  0.0009

***

(20)
Below is a relaxed V2MoI crystal, with properties calculated at the PBE level.

Values from the calculation:
Volume (Å³/atom): 17.79
N(E_F) (states/eV/f.u.): 5.19
E_tot (eV/atom): -6.567
SG: No. 122
Size of the total moment (μB/f.u.): 0.0

a b c (Å): 3.9752 3.9752 9.4360
angles (deg): 77.84 77.84 90.00
Atoms (fractional coordinates):
V  0.3750  0.3632  0.7500
V  0.1132  0.6250  0.2500
Mo  0.5000  0.5000  0.0000
I  0.0000  0.0000  0.0000
I  0.7500  0.2500  0.5000
V  0.6368  0.1250  0.2500
V  0.8750  0.8868  0.7500
Mo  0.2500  0.7500  0.5000

***

(21)
Below is a relaxed ZrVMoI2 crystal, with properties calculated at the PBE level.

Values from the calculation:
Volume (Å³/atom): 28.61
N(E_F) (states/eV/f.u.): 9.23
E_tot (eV/atom): -4.834
SG: No. 123
Size of the total moment (μB/f.u.): 0.7

a b c (Å): 5.3432 5.0104 5.3432
angles (deg): 90.00 90.00 90.00
Atoms (fractional coordinates):
Zr  0.0000  0.5000  0.0000
V  0.5000  0.5000  0.5000
I  0.0000  0.0000  0.5000
I  0.5000  0.0000  0.0000
Mo  0.0000  0.0000  0.0000

***

(22)
Below is a relaxed MoW3I crystal, with properties calculated at the PBE level.

Values from the calculation:
Volume (Å³/atom): 22.52
N(E_F) (states/eV/f.u.): 7.17
E_tot (eV/atom): -7.902
SG: No. 221
Size of the total moment (μB/f.u.): 0.0

a b c (Å): 4.8290 4.8290 4.8290
angles (deg): 90.00 90.00 90.00
Atoms (fractional coordinates):
Mo  0.0000  0.0000  0.0000
W  0.0000  0.5000  0.0000
I  0.5000  0.5000  0.5000
W  0.0000  0.0000  0.5000
W  0.5000  0.0000  0.0000

***

(23)
Below is a relaxed Mo2WI crystal, with properties calculated at the PBE level.

Values from the calculation:
Volume (Å³/atom): 19.00
N(E_F) (states/eV/f.u.): 5.00
E_tot (eV/atom): -7.571
SG: No. 122
Size of the total moment (μB/f.u.): 0.0

a b c (Å): 3.9380 3.9380 10.1887
angles (deg): 78.86 78.86 90.00
Atoms (fractional coordinates):
Mo  0.8750  0.9023  0.7500
Mo  0.0977  0.6250  0.2500
W  0.7500  0.2500  0.5000
W  0.0000  0.0000  0.0000
I  0.2500  0.7500  0.5000
I  0.5000  0.5000  0.0000
Mo  0.6523  0.1250  0.2500
Mo  0.3750  0.3477  0.7500

***

(24)
Below is a relaxed Mo2WI crystal, with properties calculated at the PBE level.

Values from the calculation:
Volume (Å³/atom): 17.51
N(E_F) (states/eV/f.u.): 6.19
E_tot (eV/atom): -8.017
SG: No. 225
Size of the total moment (μB/f.u.): 0.0

a b c (Å): 4.6271 4.6271 4.6271
angles (deg): 60.00 60.00 60.00
Atoms (fractional coordinates):
W  0.5000  0.5000  0.5000
Mo  0.2500  0.2500  0.2500
I  0.0000  0.0000  0.0000
Mo  0.7500  0.7500  0.7500

***

(25)
Below is a relaxed MoW3I crystal, with properties calculated at the PBE level.

Values from the calculation:
Volume (Å³/atom): 21.91
N(E_F) (states/eV/f.u.): 4.71
E_tot (eV/atom): -7.196
SG: No. 221
Size of the total moment (μB/f.u.): 0.0

a b c (Å): 4.7847 4.7847 4.7847
angles (deg): 90.00 90.00 90.00
Atoms (fractional coordinates):
Mo  0.5000  0.5000  0.5000
W  0.0000  0.0000  0.5000
I  0.0000  0.0000  0.0000
W  0.0000  0.5000  0.0000
W  0.5000  0.0000  0.0000

***

(26)
Below is a relaxed YMoI2 crystal, with properties calculated at the PBE level.

Values from the calculation:
Volume (Å³/atom): 30.53
N(E_F) (states/eV/f.u.): 2.68
E_tot (eV/atom): -4.746
SG: No. 122
Size of the total moment (μB/f.u.): 3.0

a b c (Å): 5.1421 5.1421 9.9266
angles (deg): 74.99 74.99 90.00
Atoms (fractional coordinates):
I  0.3750  0.3526  0.7500
Y  0.2500  0.7500  0.5000
I  0.8750  0.8974  0.7500
Mo  0.0000  0.0000  0.0000
I  0.6474  0.1250  0.2500
Mo  0.7500  0.2500  0.5000
Y  0.5000  0.5000  0.0000
I  0.1026  0.6250  0.2500

***

(27)
Below is a relaxed Y2MoI crystal, with properties calculated at the PBE level.

Values from the calculation:
Volume (Å³/atom): 35.95
N(E_F) (states/eV/f.u.): 2.88
E_tot (eV/atom): -5.628
SG: No. 122
Size of the total moment (μB/f.u.): 0.9

a b c (Å): 6.7847 6.7847 7.8776
angles (deg): 64.49 64.49 90.00
Atoms (fractional coordinates):
I  0.7500  0.2500  0.5000
Mo  0.5000  0.5000  0.0000
Mo  0.2500  0.7500  0.5000
Y  0.8750  0.7991  0.7500
Y  0.5491  0.1250  0.2500
Y  0.3750  0.4509  0.7500
I  0.0000  0.0000  0.0000
Y  0.2009  0.6250  0.2500